(1)
This record from Alexandria via LeMat-Bulk describes a geometry-optimized YHo4Tm5 structure. The functional is PBE.

```
YHo4Tm5
1.0
-1.398 1.348 -5.928
6.070 -0.604 -4.851
-2.321 -6.182 -4.140
Ho Y Tm
4 1 5
direct
0.799 0.702 0.602
0.402 0.398 0.702
0.104 0.298 0.398
0.501 0.602 0.298
0.224 0.000 0.000
0.183 0.910 0.623
0.684 0.000 0.000
0.806 0.377 0.910
0.716 0.090 0.377
0.093 0.623 0.090
```

Output
The calculated volume is 318 Å³/cell. The value obtained for the calculated total energy is -4.3984 eV/atom. The excess energy over the best structure of this formula in the dataset comes out at 260.3 meV/atom. The calculation puts the energy of formation at 0.315 eV/atom.

=====

(2)
This record from Alexandria via LeMat-Bulk describes a geometry-optimized Y4HoTm structure. The functional is PBE.

```
Y4HoTm
1.0
3.547 0.001 -0.004
-1.762 7.583 -5.262
-0.009 -5.139 10.628
Y Ho Tm
4 1 1
direct
0.332 0.665 0.998
0.167 0.333 0.501
0.668 0.335 0.002
0.833 0.667 0.499
0.000 0.000 0.000
0.500 0.000 0.500
```

Output
The calculated volume is 190 Å³/cell. The value obtained for the calculated total energy is -5.7903 eV/atom. The excess energy over the best structure of this formula in the dataset comes out at 0.0 meV/atom. The calculation puts the energy of formation at 0.027 eV/atom.

=====

(3)
This record from Alexandria via LeMat-Bulk describes a geometry-optimized Y4Ho3Tm8 structure. The functional is PBE.

```
Y4Ho3Tm8
1.0
6.033 0.000 3.254
2.139 5.641 3.254
-2.532 -1.748 11.915
Tm Ho Y
8 3 4
direct
0.753 0.250 0.748
0.750 0.750 0.252
0.247 0.750 0.252
0.250 0.250 0.748
0.244 0.244 0.267
0.250 0.753 0.748
0.756 0.756 0.733
0.750 0.247 0.252
0.000 0.000 0.500
0.500 0.000 0.500
0.000 0.500 0.500
0.664 0.664 0.009
0.500 0.500 0.500
0.000 0.000 0.000
0.336 0.336 0.991
```

Output
The calculated volume is 474 Å³/cell. The value obtained for the calculated total energy is -4.8895 eV/atom. The excess energy over the best structure of this formula in the dataset comes out at 0.0 meV/atom. The calculation puts the energy of formation at 0.135 eV/atom.

=====

(4)
This record from Alexandria via LeMat-Bulk describes a geometry-optimized Y5HoTm5 structure. The functional is PBE.

```
Y5HoTm5
1.0
6.578 0.039 1.808
-4.055 7.981 -2.946
2.668 0.223 7.394
Y Tm Ho
5 5 1
direct
0.500 0.000 0.000
0.763 0.637 0.683
0.846 0.637 0.148
0.237 0.363 0.317
0.154 0.363 0.852
0.000 0.000 0.500
0.653 0.274 0.352
0.347 0.726 0.648
0.349 0.723 0.226
0.651 0.277 0.774
0.000 0.000 0.000
```

Output
The calculated volume is 353 Å³/cell. The value obtained for the calculated total energy is -5.2303 eV/atom. The excess energy over the best structure of this formula in the dataset comes out at 0.0 meV/atom. The calculation puts the energy of formation at 0.157 eV/atom.

=====

(5)
This record from Alexandria via LeMat-Bulk describes a geometry-optimized YHo12Tm5 structure. The functional is PBE.

```
YHo12Tm5
1.0
-2.486 4.307 0.027
-7.434 -1.399 -2.179
-3.752 -2.255 14.247
Ho Tm Y
12 5 1
direct
0.000 0.000 0.334
0.667 0.667 0.334
0.833 0.334 0.833
0.167 0.666 0.833
0.500 0.000 0.167
0.333 0.333 0.666
0.833 0.334 0.167
0.000 0.000 0.666
0.667 0.667 0.666
0.333 0.333 0.334
0.167 0.666 0.167
0.500 0.000 0.833
0.833 0.333 0.500
0.332 0.335 0.000
0.500 0.000 0.500
0.668 0.665 0.000
0.167 0.667 0.500
0.000 0.000 0.000
```

Output
The calculated volume is 553 Å³/cell. The value obtained for the calculated total energy is -4.6305 eV/atom. The calculation puts the energy of formation at 0.022 eV/atom.

=====

(6)
This record from Alexandria via LeMat-Bulk describes a geometry-optimized Y4Ho3Tm structure. The functional is PBE.

```
Y4Ho3Tm
1.0
6.269 0.000 0.000
0.000 7.259 0.000
0.000 0.000 11.214
Tm Y Ho
2 8 6
direct
0.649 0.623 0.500
0.149 0.377 0.000
0.983 0.127 0.750
0.646 0.127 0.000
0.146 0.873 0.500
0.646 0.127 0.500
0.146 0.873 0.000
0.483 0.873 0.750
0.983 0.127 0.250
0.483 0.873 0.250
0.649 0.623 0.000
0.479 0.377 0.250
0.979 0.623 0.750
0.149 0.377 0.500
0.479 0.377 0.750
0.979 0.623 0.250
```

Output
The calculated volume is 510 Å³/cell. The value obtained for the calculated total energy is -5.5068 eV/atom. The excess energy over the best structure of this formula in the dataset comes out at 0.0 meV/atom. The calculation puts the energy of formation at 0.001 eV/atom.

=====

Among the records above, which one has the lowest calculated total energy? Y4HoTm

=====

Among the records above, which one has the lowest energy of formation? Y4Ho3Tm

=====

Please write out number 6 again, unchanged.
This record from Alexandria via LeMat-Bulk describes a geometry-optimized Y4Ho3Tm structure. The functional is PBE.

```
Y4Ho3Tm
1.0
6.269 0.000 0.000
0.000 7.259 0.000
0.000 0.000 11.214
Tm Y Ho
2 8 6
direct
0.649 0.623 0.500
0.149 0.377 0.000
0.983 0.127 0.750
0.646 0.127 0.000
0.146 0.873 0.500
0.646 0.127 0.500
0.146 0.873 0.000
0.483 0.873 0.750
0.983 0.127 0.250
0.483 0.873 0.250
0.649 0.623 0.000
0.479 0.377 0.250
0.979 0.623 0.750
0.149 0.377 0.500
0.479 0.377 0.750
0.979 0.623 0.250
```

Output
The calculated volume is 510 Å³/cell. The value obtained for the calculated total energy is -5.5068 eV/atom. The excess energy over the best structure of this formula in the dataset comes out at 0.0 meV/atom. The calculation puts the energy of formation at 0.001 eV/atom.

=====

What is the formula in the third record? Y4Ho3Tm8